Compound: Sr2NpO4F
Source: the Alexandria database
Functional: GGA-PBE
Structure: relaxed

Cell: 11.0582 3.5069 7.1578 Å, 90.00 116.88 90.00°
Last column: nearest neighbours and their distance in Å.
Space group C2/m (No. 12)
Symmetry-distinct sites (fractional):
Sr 0.1796 0.0000 0.1853 x4  4 O 2.52-2.66, 2 F 2.53
Np 0.0000 0.0000 0.5000 x2  6 O 2.02-2.26
O 0.1095 0.5000 0.4472 x4  2 Np 2.26
O 0.1518 0.0000 0.7960 x4  1 Np 2.02
F 0.0000 0.5000 0.0000 x2  4 Sr 2.53

The raw formation energy is -3124 meV per atom. The calculation puts the total energy at -126.0 eV/cell. The value obtained for the size of the total moment is 0.25 μB per atom. The value obtained for the volume is 15.474 A^3/atom.